1.
Entry from Alexandria via LeMat-Bulk: a geometry-optimized NaPa2FeN5 structure (GGA-PBE).

Values from the calculation:
Density of states at the Fermi level (states/eV/atom): 0.428
Crystal system: tetragonal

Unit cell a=7.180 b=7.180 c=7.180 alpha=124.88 beta=124.88 gamma=81.74
Element x y z (fractional)
Na 0.250 0.250 0.000
Na 0.750 0.750 0.000
Pa 0.184 0.684 0.869
Pa 0.316 0.184 0.500
Pa 0.684 0.816 0.500
Pa 0.816 0.316 0.131
Fe 0.250 0.750 0.500
Fe 0.750 0.250 0.500
N 0.000 0.000 0.000
N 0.002 0.233 0.500
N 0.233 0.733 0.231
N 0.267 0.498 0.500
N 0.498 0.998 0.231
N 0.500 0.500 0.000
N 0.502 0.002 0.769
N 0.733 0.502 0.500
N 0.767 0.267 0.769
N 0.998 0.767 0.500

***

2.
Entry from Alexandria via LeMat-Bulk: a geometry-optimized Na3Pa3FeN8 structure (GGA-PBE).

Values from the calculation:
Density of states at the Fermi level (states/eV/atom): 0.608
Crystal system: trigonal

Unit cell a=6.927 b=6.927 c=6.927 alpha=58.85 beta=58.85 gamma=58.85
Element x y z (fractional)
Na 0.000 0.500 0.500
Na 0.500 0.000 0.500
Na 0.500 0.500 0.000
Pa 0.000 0.000 0.500
Pa 0.000 0.500 0.000
Pa 0.500 0.000 0.000
Fe 0.500 0.500 0.500
N 0.232 0.232 0.232
N 0.251 0.713 0.713
N 0.287 0.287 0.749
N 0.287 0.749 0.287
N 0.713 0.251 0.713
N 0.713 0.713 0.251
N 0.749 0.287 0.287
N 0.768 0.768 0.768

***

no.,raw formation energy (eV/atom)
1,-0.89
2,-0.70